# CsCd5, optimized geometry, DFT PBE
data_CsCd5
_chemical_formula_sum 'Cs2 Cd10'
_cell_length_a 5.9483
_cell_length_b 16.1474
_cell_length_c 4.0150
_cell_angle_alpha 90.00
_cell_angle_beta 90.00
_cell_angle_gamma 90.00
_space_group_name_H-M_alt 'C m m m'
_space_group_IT_number 65
_space_group_name_Hall '-C 2 2'
loop_
_atom_site_label
_atom_site_type_symbol
_atom_site_fract_x
_atom_site_fract_y
_atom_site_fract_z
Cs1 Cs 0.0000 0.0000 0.0000
Cd1 Cd 0.0000 0.2075 0.5000
Cd2 Cd 0.0000 0.3496 0.0000
Cd3 Cd 0.0000 0.5000 0.5000
# Total magnetic moment = 0.00 μB per cell
# Excess energy over the best structure of this formula in the dataset = 141 meV/atom
# Calculated density = 5.98 Mg/m³



# BOsS2, optimized geometry, DFT PBE
data_BOsS2
_chemical_formula_sum 'B3 Os3 S6'
_cell_length_a 3.6844
_cell_length_b 3.6844
_cell_length_c 17.1156
_cell_angle_alpha 90.00
_cell_angle_beta 90.00
_cell_angle_gamma 120.00
_space_group_name_H-M_alt 'R -3 m'
_space_group_IT_number 166
_space_group_name_Hall '-R 3 2"'
loop_
_atom_site_label
_atom_site_type_symbol
_atom_site_fract_x
_atom_site_fract_y
_atom_site_fract_z
B1 B 0.0000 0.0000 0.0000
Os1 Os 0.0000 0.0000 0.5000
S1 S 0.0000 0.0000 0.1013
# Total magnetic moment = 2.64 μB per cell
# E_form (uncorrected) = 506 meV/atom
# Calculated density = 6.56 Mg/m³